Record 1
# ZnIr2Os

An optimized crystal structure of ZnIr2Os (PBE, Alexandria via LeMat-Bulk).

Computed properties:
**ΔH_f (0 K)**: 61 meV per atom

a b c (Å): 9.032 2.729 4.715
angles (deg): 90.00 98.66 90.00
Space group C2/m (No. 12)
Unique sites:
Zn1 0.000 0.000 0.000 [2 per cell]
Ir1 0.245 0.000 0.747 [4 per cell]
Os1 0.000 0.500 0.500 [2 per cell]

Record 2
# MnTlAu2

An optimized crystal structure of MnTlAu2 (PBE, Alexandria via LeMat-Bulk).

Computed properties:
**ΔH_f (0 K)**: 145 meV per atom

a b c (Å): 4.044 4.440 8.597
angles (deg): 90.00 90.00 90.00
Space group Imm2 (No. 44)
Unique sites:
Mn1 0.000 0.000 0.000 [2 per cell]
Tl1 0.000 0.500 0.246 [2 per cell]
Au1 0.000 0.000 0.491 [2 per cell]
Au2 0.000 0.500 0.739 [2 per cell]

Record 3
# VIn

An optimized crystal structure of VIn (PBE, Alexandria via LeMat-Bulk).

Computed properties:
**ΔH_f (0 K)**: 1605 meV per atom

a b c (Å): 7.831 7.831 7.831
angles (deg): 90.00 90.00 90.00
Space group Pm-3n (No. 223)
Unique sites:
V1 0.000 0.250 0.500 [6 per cell]
In1 0.000 0.500 0.250 [6 per cell]

Record 4
# La2Tb12Er5

An optimized crystal structure of La2Tb12Er5 (PBE, Alexandria via LeMat-Bulk).

Computed properties:
**ΔH_f (0 K)**: 139 meV per atom

a b c (Å): 15.836 9.245 8.545
angles (deg): 90.00 90.82 90.00
Space group C2/m (No. 12)
Unique sites:
La1 0.000 0.187 0.000 [4 per cell]
Tb1 0.060 0.000 0.327 [4 per cell]
Tb2 0.096 0.500 0.883 [4 per cell]
Tb3 0.125 0.191 0.648 [8 per cell]
Tb4 0.159 0.319 0.244 [8 per cell]
Er1 0.000 0.500 0.500 [2 per cell]
Er2 0.197 0.000 0.008 [4 per cell]
Er3 0.232 0.500 0.577 [4 per cell]

Record 5
# LaAlNi

An optimized crystal structure of LaAlNi (PBE, Alexandria via LeMat-Bulk).

Computed properties:
**ΔH_f (0 K)**: -280 meV per atom

a b c (Å): 6.492 6.492 6.492
angles (deg): 90.00 90.00 90.00
Space group F-43m (No. 216)
Unique sites:
La1 0.000 0.000 0.000 [4 per cell]
Al1 0.000 0.000 0.500 [4 per cell]
Ni1 0.250 0.250 0.250 [4 per cell]

Record 6
# Au4Br5N2

An optimized crystal structure of Au4Br5N2 (PBE, Alexandria via LeMat-Bulk).

Computed properties:
**Raw formation energy**: 0.038 eV per atom

a b c (Å): 4.234 9.672 12.747
angles (deg): 79.54 86.74 84.32
Space group P-1 (No. 2)
Unique sites:
Au1 0.190 0.338 0.130 [2 per cell]
Au2 0.278 0.977 0.344 [2 per cell]
Br1 0.109 0.824 0.744 [2 per cell]
Br2 0.241 0.166 0.593 [2 per cell]
Br3 0.500 0.500 0.000 [1 per cell]
N1 0.498 0.052 0.972 [2 per cell]